(1)
Computed, not measured: a relaxed NbBiAsSe2 crystal at the PBE level of DFT.

Lattice parameters (Å, degrees): 5.395 5.395 5.341 90.00 90.00 90.00
Last column: magnetic moment on the atom in μB.
Element x y z (fractional)
Bi1 0.000 0.000 0.000  -0.01
As1 0.000 0.000 0.500  -0.33
Se1 0.500 0.000 0.000  -0.22
Se2 0.000 0.500 0.000  -0.22
Nb1 0.500 0.500 0.500  2.57

## Properties
VASP energy = -3.9652 eV per atom
Offset from the most stable computed form = 1079 meV/atom
Theoretical density = 5.71 Mg/m³
Space-group type = P4/mmm, No. 123
V = 31.1 Å³ per atom
Formation energy without anion corrections = 1149 meV per atom
Total magnetization = 0.379 μB per atom


(2)
Computed, not measured: a relaxed ZrTi2Ir crystal at the PBE level of DFT.

Lattice parameters (Å, degrees): 3.103 4.647 4.647 90.00 90.00 90.00
Element x y z (fractional)
Ti1 0.000 0.000 0.500
Ti2 0.000 0.500 0.000
Ir1 0.500 0.000 0.000
Zr1 0.500 0.500 0.500

## Properties
VASP energy = -8.6843 eV per atom
Offset from the most stable computed form = 69 meV/atom
Theoretical density = 9.40 Mg/m³
Space-group type = P4/mmm, No. 123
V = 16.8 Å³ per atom
Total magnetization = 0.000 μB per atom
ΔE_f = -0.385 eV/atom


(3)
Computed, not measured: a relaxed Tb4Dy3In2 crystal at the PBE level of DFT.

Lattice parameters (Å, degrees): 5.308 6.769 9.470 59.80 73.76 66.93
Element x y z (fractional)
Tb1 0.330 0.374 0.965
Tb2 0.121 0.416 0.343
Tb3 0.879 0.584 0.657
Tb4 0.670 0.626 0.035
Dy1 0.000 0.000 0.000
Dy2 0.576 0.195 0.653
Dy3 0.424 0.805 0.347
In1 0.789 0.104 0.318
In2 0.211 0.896 0.682

## Properties
VASP energy = -4.3963 eV per atom
Theoretical density = 8.35 Mg/m³
Space-group type = C2/m, No. 12
V = 29.9 Å³ per atom
Total magnetization = 0.000 μB per atom
ΔE_f = -0.196 eV/atom


(4)
Computed, not measured: a relaxed YCr3Ru crystal at the PBE level of DFT.

Lattice parameters (Å, degrees): 4.664 4.664 4.664 90.00 90.00 90.00
Last column: magnetic moment on the atom in μB.
Element x y z (fractional)
Cr1 0.500 0.000 0.000  2.89
Cr2 0.000 0.000 0.500  2.55
Cr3 0.000 0.500 0.000  2.80
Ru1 0.000 0.000 0.000  -0.48
Y1 0.500 0.500 0.500  -0.12

## Properties
VASP energy = -8.0897 eV per atom
Theoretical density = 5.66 Mg/m³
Space-group type = Pm-3m, No. 221
V = 20.3 Å³ per atom
Total magnetization = 1.616 μB per atom
ΔE_f = 0.832 eV/atom


(5)
Computed, not measured: a relaxed SmCdGaAu crystal at the PBE level of DFT.

Lattice parameters (Å, degrees): 4.969 4.969 4.969 60.00 60.00 60.00
Element x y z (fractional)
Cd1 0.750 0.750 0.750
Au1 0.500 0.500 0.500
Sm1 0.250 0.250 0.250
Ga1 0.000 0.000 0.000

## Properties
VASP energy = -3.5119 eV per atom
Theoretical density = 10.14 Mg/m³
Space-group type = F-43m, No. 216
V = 21.7 Å³ per atom
Total magnetization = 0.000 μB per atom
ΔE_f = -0.527 eV/atom


(6)
Computed, not measured: a relaxed In2Sn13 crystal at the PBE level of DFT.

Lattice parameters (Å, degrees): 8.671 8.671 8.796 60.47 60.47 60.00
Element x y z (fractional)
Sn1 0.767 0.767 0.331
Sn2 0.233 0.864 0.669
Sn3 0.136 0.767 0.331
Sn4 0.028 0.610 0.751
Sn5 0.610 0.028 0.751
Sn6 0.390 0.390 0.249
Sn7 0.864 0.233 0.669
Sn8 0.767 0.136 0.331
Sn9 0.610 0.610 0.751
Sn10 0.390 0.972 0.249
Sn11 0.500 0.500 0.500
Sn12 0.233 0.233 0.669
Sn13 0.972 0.390 0.249
In1 0.646 0.646 0.061
In2 0.354 0.354 0.939

## Properties
VASP energy = -3.6997 eV per atom
Theoretical density = 6.25 Mg/m³
Space-group type = R-3m, No. 166
V = 31.4 Å³ per atom
Total magnetization = 0.000 μB per atom
ΔE_f = 0.135 eV/atom


(7)
Computed, not measured: a relaxed Pm5NdHoTm2 crystal at the PBE level of DFT.

Lattice parameters (Å, degrees): 5.635 10.521 10.726 90.00 90.00 105.53
Element x y z (fractional)
Tm1 0.110 0.220 0.739
Tm2 0.116 0.231 0.316
Tm3 0.884 0.769 0.816
Tm4 0.890 0.780 0.239
Pm1 0.298 0.595 0.704
Pm2 0.984 0.967 0.523
Pm3 0.520 0.041 0.242
Pm4 0.718 0.437 0.808
Pm5 0.016 0.033 0.023
Pm6 0.608 0.217 0.525
Pm7 0.282 0.563 0.308
Pm8 0.480 0.959 0.742
Pm9 0.392 0.783 0.025
Pm10 0.702 0.405 0.204
Ho1 0.589 0.177 0.957
Ho2 0.411 0.823 0.457
Nd1 0.799 0.597 0.510
Nd2 0.201 0.403 0.010

## Properties
VASP energy = -4.5224 eV per atom
Theoretical density = 7.44 Mg/m³
Space-group type = Cmc2_1, No. 36
V = 34.0 Å³ per atom
Total magnetization = 0.000 μB per atom
ΔE_f = 0.149 eV/atom


(8)
Computed, not measured: a relaxed MgPH crystal at the PBE level of DFT.

Lattice parameters (Å, degrees): 6.789 3.429 6.916 90.00 90.00 90.00
Element x y z (fractional)
Mg1 0.000 0.250 0.750
Mg2 0.500 0.750 0.250
Mg3 0.500 0.250 0.750
Mg4 0.000 0.750 0.250
P1 0.750 0.250 0.051
P2 0.250 0.750 0.949
P3 0.750 0.750 0.551
P4 0.250 0.250 0.449
H1 0.250 0.250 0.970
H2 0.750 0.250 0.530
H3 0.750 0.750 0.030
H4 0.250 0.750 0.470

## Properties
VASP energy = -3.5608 eV per atom
Offset from the most stable computed form = 260 meV/atom
Theoretical density = 2.32 Mg/m³
Space-group type = Cmcm, No. 63
V = 13.4 Å³ per atom
Total magnetization = 0.000 μB per atom


(9)
Computed, not measured: a relaxed AsSe2Br crystal at the PBE level of DFT.

Lattice parameters (Å, degrees): 3.787 5.340 6.531 54.13 90.00 90.00
Element x y z (fractional)
Se1 0.000 0.001 0.080
Se2 0.500 0.273 0.263
Br1 0.500 0.745 0.749
As1 0.000 0.481 0.408

## Properties
VASP energy = -3.2818 eV per atom
Offset from the most stable computed form = 193 meV/atom
Theoretical density = 4.85 Mg/m³
Space-group type = Pm, No. 6
V = 26.8 Å³ per atom
Formation energy without anion corrections = 41 meV per atom
Total magnetization = 0.000 μB per atom


(10)
Computed, not measured: a relaxed ScFeTc2 crystal at the PBE level of DFT.

Lattice parameters (Å, degrees): 8.878 8.878 8.878 18.44 18.44 18.44
Last column: magnetic moment on the atom in μB.
Element x y z (fractional)
Fe1 0.250 0.250 0.250  2.24
Tc1 0.993 0.993 0.993  -0.12
Tc2 0.507 0.507 0.507  -0.12
Sc1 0.750 0.750 0.750  -0.04

## Properties
VASP energy = -8.6321 eV per atom
Offset from the most stable computed form = 294 meV/atom
Theoretical density = 8.06 Mg/m³
Space-group type = R-3m, No. 166
V = 15.3 Å³ per atom
Total magnetization = 0.495 μB per atom
ΔE_f = 0.249 eV/atom


(11)
Computed, not measured: a relaxed TmCO4 crystal at the PBE level of DFT.

Lattice parameters (Å, degrees): 4.744 7.129 8.915 90.00 90.00 90.00
Last column: magnetic moment on the atom in μB.
Element x y z (fractional)
Tm1 0.968 0.355 0.171  -0.02
Tm2 0.468 0.145 0.829  -0.02
Tm3 0.032 0.855 0.329  -0.02
Tm4 0.532 0.645 0.671  -0.02
O1 0.051 0.574 0.735  0.01
O2 0.658 0.124 0.072  0.02
O3 0.476 0.839 0.856  0.66
O4 0.024 0.161 0.356  0.66
O5 0.976 0.661 0.144  0.66
O6 0.949 0.074 0.765  0.01
O7 0.711 0.440 0.868  0.14
O8 0.342 0.624 0.428  0.02
O9 0.524 0.339 0.644  0.66
O10 0.842 0.876 0.572  0.02
O11 0.551 0.926 0.265  0.01
O12 0.289 0.940 0.632  0.14
O13 0.449 0.426 0.235  0.01
O14 0.211 0.060 0.132  0.14
O15 0.158 0.376 0.928  0.02
O16 0.789 0.560 0.368  0.14
C1 0.519 0.536 0.342  0.00
C2 0.981 0.464 0.842  0.00
C3 0.019 0.964 0.658  0.00
C4 0.481 0.036 0.158  0.00

## Properties
VASP energy = -7.6178 eV per atom
Offset from the most stable computed form = 45 meV/atom
Theoretical density = 5.40 Mg/m³
Space-group type = P2_12_12_1, No. 19
V = 12.6 Å³ per atom
Formation energy without anion corrections = -2030 meV per atom
Total magnetization = 0.167 μB per atom